CeScTeSe, relaxed, DFT PBE; raw total energy = -6.1911 eV/atom; formation energy (no corrections) = -1468 meV per atom
1.0
2.066 1.193 7.004
-2.066 1.193 7.004
0.000 -2.385 7.004
Ce Sc Te Se
1 1 1 1
Direct
0.000 0.000 0.000 Ce
0.520 0.520 0.520 Sc
0.768 0.768 0.768 Te
0.250 0.250 0.250 Se